Entry A
First-principles (PBE) data for a relaxed structure of TcSnH2, as listed in the Alexandria database.

Lattice parameters (Å, degrees): 4.7152 4.7152 5.4110 64.17 64.17 90.00
Last column: nearest neighbours and their distance in Å.
Atoms (fractional coordinates):
H: 0.5176 0.1250 0.2500  2 Tc 1.73
H: 0.2324 0.6250 0.2500  2 Tc 1.73
H: 0.3750 0.4824 0.7500  2 Tc 1.73
H: 0.8750 0.7676 0.7500  2 Tc 1.73
Sn: 0.0000 0.0000 0.0000  4 H 2.32
Sn: 0.7500 0.2500 0.5000  4 H 2.32
Tc: 0.5000 0.5000 0.0000  4 H 1.73
Tc: 0.2500 0.7500 0.5000  4 H 1.73

The density of states at the Fermi level is 0.8689 states/eV/atom. For the calculated volume, the calculation gives 11.84 A^3/atom. The total moment is 0.089 μB/atom. The value obtained for the density is 7.666 g/cm³. As for the crystal system: tetragonal.

Entry B
First-principles (PBE) data for a relaxed structure of TcSnH2, as listed in the Alexandria database.

Lattice parameters (Å, degrees): 3.9441 3.9441 3.9441 60.00 60.00 60.00
Last column: nearest neighbours and their distance in Å.
Atoms (fractional coordinates):
H: 0.2500 0.2500 0.2500  4 Sn 2.42, 4 Tc 2.42
H: 0.7500 0.7500 0.7500  4 Sn 2.42, 4 Tc 2.42
Sn: 0.5000 0.5000 0.5000  8 H 2.42
Tc: 0.0000 0.0000 0.0000  8 H 2.42

The density of states at the Fermi level is 0.7113 states/eV/atom. For the calculated volume, the calculation gives 10.85 A^3/atom. The total moment is 0.000 μB/atom. The value obtained for the density is 8.372 g/cm³. As for the crystal system: cubic.

Which of them is the most stable? Correct choice: entry A.

Entry A
First-principles (PBE) data for a relaxed structure of Sn3TeH, as listed in the Alexandria database.

Lattice parameters (Å, degrees): 5.9696 5.9696 5.9696 90.00 90.00 90.00
Last column: nearest neighbours and their distance in Å.
Atoms (fractional coordinates):
H: 0.5000 0.5000 0.5000  12 Sn 4.22
Te: 0.0000 0.0000 0.0000  6 Sn 2.98
Sn: 0.0000 0.5000 0.0000  2 Te 2.98
Sn: 0.0000 0.0000 0.5000  2 Te 2.98
Sn: 0.5000 0.0000 0.0000  2 Te 2.98

The density of states at the Fermi level is 0.8422 states/eV/atom. For the calculated volume, the calculation gives 42.55 A^3/atom. The total moment is 0.134 μB/atom. The value obtained for the density is 3.784 g/cm³. As for the crystal system: cubic.

Entry B
First-principles (PBE) data for a relaxed structure of Sn3TeH, as listed in the Alexandria database.

Lattice parameters (Å, degrees): 4.9075 4.9075 4.9075 90.00 90.00 90.00
Last column: nearest neighbours and their distance in Å.
Atoms (fractional coordinates):
H: 0.0000 0.0000 0.0000  6 Sn 2.45
Te: 0.5000 0.5000 0.5000  12 Sn 3.47
Sn: 0.0000 0.5000 0.0000  2 H 2.45
Sn: 0.0000 0.0000 0.5000  2 H 2.45
Sn: 0.5000 0.0000 0.0000  2 H 2.45

The density of states at the Fermi level is 0.4342 states/eV/atom. For the calculated volume, the calculation gives 23.64 A^3/atom. The total moment is 0.000 μB/atom. The value obtained for the density is 6.810 g/cm³. As for the crystal system: cubic.

Which of them is the most stable? Correct choice: entry B.

Entry A
First-principles (PBE) data for a relaxed structure of SnTeH3, as listed in the Alexandria database.

Lattice parameters (Å, degrees): 4.0985 4.0985 4.0985 90.00 90.00 90.00
Last column: nearest neighbours and their distance in Å.
Atoms (fractional coordinates):
H: 0.0000 0.5000 0.0000  2 Sn 2.05
H: 0.0000 0.0000 0.5000  2 Sn 2.05
H: 0.5000 0.0000 0.0000  2 Sn 2.05
Te: 0.5000 0.5000 0.5000  12 H 2.90
Sn: 0.0000 0.0000 0.0000  6 H 2.05

The density of states at the Fermi level is 0.5360 states/eV/atom. For the calculated volume, the calculation gives 13.77 A^3/atom. The total moment is 0.000 μB/atom. The value obtained for the density is 6.014 g/cm³. As for the crystal system: cubic.

Entry B
First-principles (PBE) data for a relaxed structure of SnTeH3, as listed in the Alexandria database.

Lattice parameters (Å, degrees): 4.1287 4.1287 4.1287 90.00 90.00 90.00
Last column: nearest neighbours and their distance in Å.
Atoms (fractional coordinates):
H: 0.0000 0.5000 0.0000  2 Te 2.06
H: 0.0000 0.0000 0.5000  2 Te 2.06
H: 0.5000 0.0000 0.0000  2 Te 2.06
Te: 0.0000 0.0000 0.0000  6 H 2.06
Sn: 0.5000 0.5000 0.5000  12 H 2.92

The density of states at the Fermi level is 0.2192 states/eV/atom. For the calculated volume, the calculation gives 14.08 A^3/atom. The total moment is 0.000 μB/atom. The value obtained for the density is 5.883 g/cm³. As for the crystal system: cubic.

Which of them is the most stable? Correct choice: entry A.

Entry A
First-principles (PBE) data for a relaxed structure of Sn2TeH, as listed in the Alexandria database.

Lattice parameters (Å, degrees): 6.2607 6.2607 6.9390 63.18 63.18 90.00
Last column: nearest neighbours and their distance in Å.
Atoms (fractional coordinates):
H: 0.5000 0.5000 0.0000  4 Sn 2.23
H: 0.2500 0.7500 0.5000  4 Sn 2.23
Te: 0.0000 0.0000 0.0000  4 Sn 3.07
Te: 0.7500 0.2500 0.5000  4 Sn 3.07
Sn: 0.5122 0.1250 0.2500  2 H 2.23
Sn: 0.2378 0.6250 0.2500  2 H 2.23
Sn: 0.3750 0.4878 0.7500  2 H 2.23
Sn: 0.8750 0.7622 0.7500  2 H 2.23

The density of states at the Fermi level is 0.4577 states/eV/atom. For the calculated volume, the calculation gives 26.18 A^3/atom. The total moment is 0.000 μB/atom. The value obtained for the density is 5.804 g/cm³. As for the crystal system: tetragonal.

Entry B
First-principles (PBE) data for a relaxed structure of Sn2TeH, as listed in the Alexandria database.

Lattice parameters (Å, degrees): 5.1719 5.1719 5.1719 60.00 60.00 60.00
Last column: nearest neighbours and their distance in Å.
Atoms (fractional coordinates):
H: 0.0000 0.0000 0.0000  8 Sn 3.17
Te: 0.5000 0.5000 0.5000  8 Sn 3.17
Sn: 0.2500 0.2500 0.2500  4 H 3.17, 4 Te 3.17
Sn: 0.7500 0.7500 0.7500  4 H 3.17, 4 Te 3.17

The density of states at the Fermi level is 0.4177 states/eV/atom. For the calculated volume, the calculation gives 24.46 A^3/atom. The total moment is 0.000 μB/atom. The value obtained for the density is 6.213 g/cm³. As for the crystal system: cubic.

Which of them is the most stable? Correct choice: entry A.